# PBE AcEr2PuSe4, optimized geometry
# density of states at the Fermi level: 10.7 states/eV per cell
# uncorrected formation energy: -1.693 eV/atom
# final energy: -6.881 eV per atom
data_AcEr2PuSe4
_symmetry_space_group_name_H-M 'P 1'
_symmetry_Int_Tables_number 1
_symmetry_space_group_name_Hall 'P 1'
_cell_length_a 4.125
_cell_length_b 7.358
_cell_length_c 7.184
_cell_angle_alpha 71.22
_cell_angle_beta 90.00
_cell_angle_gamma 90.00
loop_
_atom_site_label
_atom_site_fract_x
_atom_site_fract_y
_atom_site_fract_z
Ac1 0.500 0.500 0.000
Er1 0.000 0.000 0.000
Er2 0.500 0.000 0.500
Pu1 0.000 0.500 0.500
Se1 0.000 0.775 0.733
Se2 0.000 0.225 0.267
Se3 0.500 0.768 0.252
Se4 0.500 0.232 0.748

# PBE AcErPuSn, optimized geometry
# formation enthalpy at 0 K: -0.035 eV per atom
# density of states at the Fermi level: 13.7 states/eV per cell
# final energy: -6.787 eV per atom
data_AcErPuSn
_symmetry_space_group_name_H-M 'P 1'
_symmetry_Int_Tables_number 1
_symmetry_space_group_name_Hall 'P 1'
_cell_length_a 5.523
_cell_length_b 5.523
_cell_length_c 5.523
_cell_angle_alpha 60.00
_cell_angle_beta 60.00
_cell_angle_gamma 60.00
loop_
_atom_site_label
_atom_site_fract_x
_atom_site_fract_y
_atom_site_fract_z
Ac1 0.750 0.750 0.750
Er1 0.500 0.500 0.500
Sn1 0.250 0.250 0.250
Pu1 0.000 0.000 0.000